Density functional theory data (PBE-GGA) for a relaxed Y2NiGeH crystal.

Cell and atoms, written as POSCAR:
```
Y2NiGeH
1.0
4.923 0.000 0.000
0.000 4.923 0.000
0.000 0.000 3.559
H Ge Y Ni
1 1 2 1
Direct
0.000 0.000 0.000
0.500 0.500 0.500
0.500 0.000 0.000
0.000 0.500 0.000
0.000 0.000 0.500
```



Density functional theory data (PBE-GGA) for a relaxed Y2Ni5Ge3H2 crystal.

Cell and atoms, written as POSCAR:
```
Y2Ni5Ge3H2
1.0
3.940 0.000 0.000
0.000 3.940 0.000
-1.970 -1.970 10.285
Ni H Ge Y
5 2 3 2
Direct
0.500 0.500 0.000
0.921 0.421 0.842
0.579 0.079 0.158
0.079 0.579 0.158
0.421 0.921 0.842
0.579 0.579 0.158
0.421 0.421 0.842
0.000 0.000 0.000
0.845 0.845 0.690
0.155 0.155 0.310
0.693 0.693 0.386
0.307 0.307 0.614
```



Density functional theory data (PBE-GGA) for a relaxed Y2Ni6GeH crystal.

Cell and atoms, written as POSCAR:
```
Y2Ni6GeH
1.0
-3.834 3.305 -1.473
-4.400 -4.020 2.426
-3.153 2.168 3.632
Y Ni Ge H
2 6 1 1
Direct
0.721 0.163 0.559
0.279 0.837 0.441
0.273 0.331 0.944
0.727 0.669 0.056
0.218 0.670 0.055
0.274 0.332 0.452
0.782 0.330 0.945
0.726 0.668 0.548
0.000 0.000 0.000
0.500 0.500 0.000
```



Density functional theory data (PBE-GGA) for a relaxed ZnNi4GeH crystal.

Cell and atoms, written as POSCAR:
```
ZnNi4GeH
1.0
5.008 0.000 0.000
0.000 5.016 0.000
-2.504 0.000 6.120
Zn Ni Ge H
2 8 2 2
Direct
0.102 0.250 0.205
0.898 0.750 0.795
0.906 0.250 0.813
0.581 0.250 0.161
0.500 0.000 0.500
0.500 0.500 0.500
0.094 0.750 0.187
0.000 0.500 0.500
0.419 0.750 0.839
0.000 0.000 0.500
0.610 0.750 0.219
0.390 0.250 0.781
0.247 0.750 0.494
0.753 0.250 0.506
```



Density functional theory data (PBE-GGA) for a relaxed ZrNiGeH crystal.

Cell and atoms, written as POSCAR:
```
ZrNiGeH
1.0
-1.976 3.467 -0.699
-0.837 -2.176 3.315
2.472 1.769 1.785
Zr H Ge Ni
1 1 1 1
Direct
0.572 0.144 0.309
0.239 0.477 0.310
0.905 0.810 0.809
0.238 0.477 0.811
```



Density functional theory data (PBE-GGA) for a relaxed NpGeH crystal.

Cell and atoms, written as POSCAR:
```
NpGeH
1.0
4.389 0.000 0.000
0.000 3.650 0.000
0.000 -1.825 3.161
H Ge Np
1 1 1
Direct
0.500 0.333 0.667
0.000 0.000 0.000
0.500 0.667 0.333
```

Properties
Excess energy over the best structure of this formula in the dataset in meV/atom: 269



Number 1: final energy -0.432 Ry per atom, size of the total moment 0.000 μB per atom. Number 2: final energy -0.413 Ry per atom, size of the total moment 0.000 μB per atom. Number 3: final energy -0.438 Ry per atom, size of the total moment 0.000 μB per atom. Number 4: final energy -0.350 Ry per atom, size of the total moment 0.000 μB per atom. Number 5: final energy -0.454 Ry per atom, size of the total moment 0.000 μB per atom. Number 6: final energy -0.515 Ry per atom, size of the total moment 1.268 μB per atom.